! K2ZrSb, relaxed, DFT GGA-PBE; values from VASP
! DFT total energy in eV/atom: -3.77
&SYSTEM
  ibrav = 0, nat = 4, ntyp = 3
/
ATOMIC_SPECIES
Sb 121.76 Sb.upf
K 39.10 K.upf
Zr 91.22 Zr.upf
ATOMIC_POSITIONS crystal
Sb 0.0000 0.0000 0.5876
K 0.5000 0.5000 0.3192
Zr 0.5000 0.5000 0.6575
K 0.0000 0.0000 0.9357
CELL_PARAMETERS angstrom
4.0061 0.0045 0.0000
-0.0046 4.0061 0.0000
0.0000 0.0000 10.4541